Y2Nb2Tl after structural relaxation. Source: Alexandria via LeMat-Bulk, functional PBE-GGA.

Unit cell a=7.5752 b=7.5752 c=4.3050 alpha=90.00 beta=90.00 gamma=90.00
With the nearest neighbours (Å) after each atom.
Space group P4/mbm (No. 127)
Unique sites:
Y 0.1759 0.3241 0.0000 [4 per cell]  6 Nb 3.06-3.14
Nb 0.1211 0.6211 0.5000 [4 per cell]  1 Nb 2.60
Tl 0.0000 0.0000 0.5000 [2 per cell]  4 Nb 3.01

- formation energy from the elements (eV per atom) = 0.168